A plane-wave DFT calculation with GGA-PBE was carried out for a relaxed structure of AcZn3Pd.

Cell lengths 6.5304, 6.5304, 5.6992 Å; angles 90.00, 90.00, 120.00 degrees
Last column: nearest neighbours and their distance in Å.
Space group P6_3/mmc (No. 194)
Asymmetric unit:
Ac (0.3333, 0.6667, 0.2500) x2  12 Zn 3.27-3.28
Zn (0.1918, 0.3837, 0.7500) x6  2 Pd 2.60, 2 Zn 2.77
Pd (0.0000, 0.0000, 0.0000) x2  6 Zn 2.60, 2 Pd 2.85

Properties
ΔH_f (0 K): -390 meV/atom
total DFT energy (no corrections): -3.01 eV/atom
energy above the lowest structure with this stoichiometry: 84.8 meV/atom

A plane-wave DFT calculation with GGA-PBE was carried out for a relaxed structure of Tb4Nd2Er2Mg.

Cell lengths 6.6179, 6.8624, 7.6758 Å; angles 87.27, 72.71, 63.21 degrees
Last column: nearest neighbours and their distance in Å.
Space group P-1 (No. 2)
Asymmetric unit:
Tb (0.0058, 0.1276, 0.2792) x2  1 Mg 3.11, 2 Er 3.37-3.40, 2 Tb 3.45-3.46
Tb (0.4611, 0.8449, 0.8524) x2  3 Er 3.39-3.71, 4 Tb 3.45-3.61, 2 Nd 3.54-3.79, 1 Mg 3.59
Nd (0.4706, 0.3309, 0.6825) x2  1 Mg 3.49, 3 Er 3.49-3.80, 6 Tb 3.54-3.80, 1 Nd 3.60
Er (0.0947, 0.6396, 0.1025) x2  1 Mg 3.12, 4 Tb 3.37-3.41, 1 Er 3.37, 1 Nd 3.49
Mg (0.0000, 0.5000, 0.5000) x1  2 Tb 3.11, 2 Er 3.12

Properties
ΔH_f (0 K): 132 meV/atom
total DFT energy (no corrections): -4.18 eV/atom

A plane-wave DFT calculation with GGA-PBE was carried out for a relaxed structure of MnPd5Au6.

Cell lengths 4.0648, 6.4215, 8.0403 Å; angles 89.76, 89.85, 71.57 degrees
Last column: nearest neighbours and their distance in Å.
Space group P-1 (No. 2)
Asymmetric unit:
Mn (0.0000, 0.0000, 0.0000) x1  4 Pd 2.83, 8 Au 2.84-2.86
Pd (0.0000, 0.0000, 0.5000) x1  8 Au 2.86-2.87, 4 Pd 2.87
Pd (0.3336, 0.3330, 0.5000) x2  8 Au 2.85-2.87, 4 Pd 2.87-2.88
Pd (0.3384, 0.3236, 0.0000) x2  8 Au 2.81-2.90, 2 Mn 2.83, 2 Pd 2.96
Au (0.1664, 0.6667, 0.2483) x2  1 Mn 2.84, 7 Pd 2.85-2.90, 4 Au 2.87
Au (0.1667, 0.6667, 0.7516) x2  7 Pd 2.85-2.89, 1 Mn 2.85, 4 Au 2.87
Au (0.4999, 0.0000, 0.2499) x2  6 Pd 2.81-2.86, 2 Mn 2.85-2.86, 4 Au 2.87

Properties
ΔH_f (0 K): -125 meV/atom
total DFT energy (no corrections): -4.69 eV/atom
energy above the lowest structure with this stoichiometry: 0.0 meV/atom

A plane-wave DFT calculation with GGA-PBE was carried out for a relaxed structure of NaGeTe.

Cell lengths 4.4947, 5.8218, 7.5396 Å; angles 84.33, 72.72, 67.31 degrees
Last column: nearest neighbours and their distance in Å.
Space group P1 (No. 1)
Asymmetric unit:
Na (0.0000, 0.0000, 0.0000) x1  3 Te 3.12-3.32, 2 Ge 3.23-3.47
Na (0.1881, 0.2793, 0.3467) x1  3 Te 3.12-3.33, 2 Ge 3.23-3.47
Ge (0.2453, 0.6888, 0.5801) x1  2 Ge 2.67, 2 Te 2.85-2.97
Ge (0.7007, 0.5923, 0.7661) x1  2 Ge 2.67, 2 Te 2.84-2.96
Te (0.5637, 0.6401, 0.1727) x1  2 Ge 2.96-2.97, 2 Na 3.14
Te (0.6731, 0.1406, 0.6731) x1  4 Ge 2.84-3.16, 2 Na 3.12

Properties
uncorrected formation energy: -0.356 eV/atom
total DFT energy (no corrections): -3.38 eV/atom
energy above the lowest structure with this stoichiometry: 0.0 meV/atom

A plane-wave DFT calculation with GGA-PBE was carried out for a relaxed structure of LiSiMo2.

Cell lengths 3.7706, 3.7706, 3.9588 Å; angles 90.00, 90.00, 90.00 degrees
Last column: nearest neighbours and their distance in Å.
Space group P4/mmm (No. 123)
Asymmetric unit:
Li (0.0000, 0.0000, 0.0000) x1  4 Si 2.67, 8 Mo 2.73
Si (0.5000, 0.5000, 0.0000) x1  4 Li 2.67, 8 Mo 2.73
Mo (0.0000, 0.5000, 0.5000) x2  4 Mo 2.67, 4 Li 2.73, 4 Si 2.73

Properties
uncorrected formation energy: 0.075 eV/atom
total DFT energy (no corrections): -7.17 eV/atom

A plane-wave DFT calculation with GGA-PBE was carried out for a relaxed structure of Cr2ReTc.

Cell lengths 2.6997, 3.7729, 5.2939 Å; angles 90.00, 90.00, 90.00 degrees
Last column: nearest neighbours and their distance in Å.
Space group Pmm2 (No. 25)
Asymmetric unit:
Cr (0.0000, 0.0000, 0.0000) x1  2 Re 2.57-2.73, 4 Tc 2.65, 6 Cr 2.65-2.70
Cr (0.5000, 0.5000, 0.2405) x1  2 Tc 2.54-2.75, 6 Cr 2.65-2.70, 4 Re 2.66
Re (0.0000, 0.0000, 0.4848) x1  6 Cr 2.57-2.73, 2 Re 2.70, 4 Tc 2.74
Tc (0.5000, 0.5000, 0.7598) x1  6 Cr 2.54-2.75, 2 Tc 2.70, 4 Re 2.74

Properties
ΔH_f (0 K): 212 meV/atom
total DFT energy (no corrections): -10.30 eV/atom

A plane-wave DFT calculation with GGA-PBE was carried out for a relaxed structure of La4CeSm6.

Cell lengths 6.9051, 6.9051, 16.6934 Å; angles 90.00, 90.00, 90.00 degrees
Last column: nearest neighbours and their distance in Å.
Space group I-42m (No. 121)
Asymmetric unit:
La (0.1905, 0.1905, 0.1728) x8  1 Ce 3.43, 7 Sm 3.52-3.82, 1 La 3.72
Ce (0.0000, 0.0000, 0.0000) x2  4 La 3.43, 8 Sm 3.45-3.71
Sm (0.0000, 0.5000, 0.0000) x4  4 Sm 3.20, 2 Ce 3.45
Sm (0.1762, 0.1762, 0.3835) x8  3 Sm 3.20-3.44, 1 La 3.52

Properties
ΔH_f (0 K): 291 meV/atom
total DFT energy (no corrections): -4.61 eV/atom

A plane-wave DFT calculation with GGA-PBE was carried out for a relaxed structure of BaMnRh2.

Cell lengths 5.2235, 5.2235, 14.8891 Å; angles 90.00, 90.00, 90.00 degrees
Last column: nearest neighbours and their distance in Å.
Space group I-42d (No. 122)
Asymmetric unit:
Ba (0.0000, 0.0000, 0.0000) x4  8 Rh 3.29-3.64
Mn (0.0000, 0.0000, 0.5000) x4  4 Rh 2.28
Rh (0.0434, 0.2500, 0.6250) x8  2 Mn 2.28

Properties
ΔH_f (0 K): 448 meV/atom
total DFT energy (no corrections): -6.00 eV/atom

A plane-wave DFT calculation with GGA-PBE was carried out for a relaxed structure of BeRuPb2.

Cell lengths 7.4277, 7.4277, 6.0001 Å; angles 90.00, 90.00, 90.00 degrees
Last column: nearest neighbours and their distance in Å.
Space group I-42d (No. 122)
Asymmetric unit:
Be (0.0000, 0.0000, 0.0000) x4  4 Pb 2.64
Ru (0.0000, 0.0000, 0.5000) x4  4 Pb 2.82, 2 Be 3.00
Pb (0.2321, 0.2500, 0.1250) x8  2 Be 2.64, 2 Ru 2.82

Properties
ΔH_f (0 K): 906 meV/atom
total DFT energy (no corrections): -4.20 eV/atom
energy above the lowest structure with this stoichiometry: 736.3 meV/atom

A plane-wave DFT calculation with GGA-PBE was carried out for a relaxed structure of Pa3As3Rh2.

Cell lengths 4.1737, 10.6684, 14.3499 Å; angles 90.00, 90.00, 90.00 degrees
Last column: nearest neighbours and their distance in Å.
Space group Cmcm (No. 63)
Asymmetric unit:
Pa (0.0000, 0.0758, 0.1099) x8  6 As 2.95-3.12, 3 Rh 3.03-3.14
Pa (0.0000, 0.3522, 0.2500) x4  5 As 2.96-3.16, 4 Rh 3.00
As (0.0000, 0.3707, 0.7500) x4  2 Rh 2.59
As (0.0000, 0.3787, 0.0422) x8  3 Rh 2.52-2.76
Rh (0.0000, 0.2188, 0.6089) x8  4 As 2.52-2.76

Properties
ΔH_f (0 K): -899 meV/atom
total DFT energy (no corrections): -8.04 eV/atom

Please write out number 3 again, unchanged.
A plane-wave DFT calculation with GGA-PBE was carried out for a relaxed structure of MnPd5Au6.

Cell lengths 4.0648, 6.4215, 8.0403 Å; angles 89.76, 89.85, 71.57 degrees
Last column: nearest neighbours and their distance in Å.
Space group P-1 (No. 2)
Asymmetric unit:
Mn (0.0000, 0.0000, 0.0000) x1  4 Pd 2.83, 8 Au 2.84-2.86
Pd (0.0000, 0.0000, 0.5000) x1  8 Au 2.86-2.87, 4 Pd 2.87
Pd (0.3336, 0.3330, 0.5000) x2  8 Au 2.85-2.87, 4 Pd 2.87-2.88
Pd (0.3384, 0.3236, 0.0000) x2  8 Au 2.81-2.90, 2 Mn 2.83, 2 Pd 2.96
Au (0.1664, 0.6667, 0.2483) x2  1 Mn 2.84, 7 Pd 2.85-2.90, 4 Au 2.87
Au (0.1667, 0.6667, 0.7516) x2  7 Pd 2.85-2.89, 1 Mn 2.85, 4 Au 2.87
Au (0.4999, 0.0000, 0.2499) x2  6 Pd 2.81-2.86, 2 Mn 2.85-2.86, 4 Au 2.87

Properties
ΔH_f (0 K): -125 meV/atom
total DFT energy (no corrections): -4.69 eV/atom
energy above the lowest structure with this stoichiometry: 0.0 meV/atom

Q: Which value of total DFT energy (no corrections) does entry 5 give?
A: -7.17 eV/atom

Q: Among the records above, which one has the highest total DFT energy (no corrections)?
A: AcZn3Pd